Record 1
# MgMo2As2 (PBE, optimized geometry)
# Energy of formation = -0.69 kcal/mol of atoms
data_MgMo2As2
_chemical_formula_sum 'Mg2 Mo4 As4'
_cell_length_a 7.258
_cell_length_b 7.258
_cell_length_c 3.128
_cell_angle_alpha 90.00
_cell_angle_beta 90.00
_cell_angle_gamma 90.00
_space_group_name_H-M_alt 'P 4/m b m'
_space_group_IT_number 127
_space_group_name_Hall '-P 4 2ab'
loop_
_atom_site_label
_atom_site_type_symbol
_atom_site_fract_x
_atom_site_fract_y
_atom_site_fract_z
Mg1 Mg 0.000 0.000 0.000
Mo1 Mo 0.147 0.353 0.500
As1 As 0.147 0.647 0.000

---

Record 2
# DyMgIrRu (PBE, optimized geometry)
# Energy of formation = -7.14 kcal/mol of atoms
data_DyMgIrRu
_chemical_formula_sum 'Dy4 Mg4 Ir4 Ru4'
_cell_length_a 6.551
_cell_length_b 6.551
_cell_length_c 6.551
_cell_angle_alpha 90.00
_cell_angle_beta 90.00
_cell_angle_gamma 90.00
_space_group_name_H-M_alt 'F -4 3 m'
_space_group_IT_number 216
_space_group_name_Hall 'F -4 2 3'
loop_
_atom_site_label
_atom_site_type_symbol
_atom_site_fract_x
_atom_site_fract_y
_atom_site_fract_z
Dy1 Dy 0.000 0.000 0.000
Mg1 Mg 0.000 0.000 0.500
Ir1 Ir 0.250 0.250 0.250
Ru1 Ru 0.250 0.250 0.750

---

Record 3
# MnCdSb2 (PBE, optimized geometry)
# Energy relative to the elements, uncorrected = 0.20 eV/atom
data_MnCdSb2
_chemical_formula_sum 'Mn1 Cd1 Sb2'
_cell_length_a 3.129
_cell_length_b 3.129
_cell_length_c 9.479
_cell_angle_alpha 90.00
_cell_angle_beta 90.00
_cell_angle_gamma 90.00
_space_group_name_H-M_alt 'P 4 m m'
_space_group_IT_number 99
_space_group_name_Hall 'P 4 -2'
loop_
_atom_site_label
_atom_site_type_symbol
_atom_site_fract_x
_atom_site_fract_y
_atom_site_fract_z
Mn1 Mn 0.000 0.000 0.000
Cd1 Cd 0.500 0.500 0.799
Sb1 Sb 0.000 0.000 0.538
Sb2 Sb 0.500 0.500 0.196

---

Record 4
# Ho4ZnPSe2 (PBE, optimized geometry)
# Energy relative to the elements, uncorrected = -1.34 eV/atom
data_Ho4ZnPSe2
_chemical_formula_sum 'Ho4 Zn1 P1 Se2'
_cell_length_a 7.033
_cell_length_b 3.980
_cell_length_c 7.113
_cell_angle_alpha 90.00
_cell_angle_beta 108.62
_cell_angle_gamma 90.00
_space_group_name_H-M_alt 'P 1 2/m 1'
_space_group_IT_number 10
_space_group_name_Hall '-P 2y'
loop_
_atom_site_label
_atom_site_type_symbol
_atom_site_fract_x
_atom_site_fract_y
_atom_site_fract_z
Ho1 Ho 0.239 0.000 0.235
Ho2 Ho 0.246 0.500 0.756
Zn1 Zn 0.500 0.000 0.000
P1 P 0.000 0.500 0.000
Se1 Se 0.000 0.000 0.500
Se2 Se 0.500 0.500 0.500

---

Number 1: volume 82 Å³/f.u., M_tot 0.00 Bohr magnetons per cell. Number 2: volume 70 Å³/f.u., M_tot 0.00 Bohr magnetons per cell. Number 3: volume 93 Å³/f.u., M_tot 3.32 Bohr magnetons per cell. Number 4: volume 189 Å³/f.u., M_tot 0.00 Bohr magnetons per cell.